Here is a crystal of Be2CdCu relaxed with PBEsol from Alexandria. Energies are from meta-GGA SCAN.

Values from the calculation:
**Uncorrected energy**: -13.390 eV/atom
**Total magnetization**: 0.00 μB per formula unit

a = 3.5653 Å, b = 3.5653 Å, c = 4.5161 Å
α = 113.25°, β = 113.25°, γ = 90.00°
With the nearest neighbours (Å) after each atom.
Sites, in units of the cell vectors:
Cu 0.2500 0.7500 0.5000  8 Be 2.52-2.59, 4 Cd 2.59
Be 0.7500 0.2500 0.5000  4 Cu 2.52, 4 Cd 2.59, 4 Be 2.59
Be 0.0000 0.0000 0.0000  4 Cd 2.52, 4 Be 2.59, 4 Cu 2.59
Cd 0.5000 0.5000 0.0000  8 Be 2.52-2.59, 4 Cu 2.59